The following is a PBE calculation of crystalline CaPm2Tl at its relaxed geometry, from Alexandria via LeMat-Bulk.

Output
The energy above the most stable polymorph in this dataset is 0 meV per atom. For the total magnetization, the calculation gives 0.000 μB per formula unit. The calculation puts the total DFT energy (no corrections) at -3.6527 eV per atom. As for the density of states at the Fermi level: 15.0 states/eV per cell.

Lattice parameters (Å, degrees): 5.3780 6.9726 14.1230 77.39 90.00 90.00
Positions (direct):
Pm (0.2499, 0.1535, 0.4459)
Tl (0.2502, 0.2354, 0.8873)
Pm (0.2502, 0.5011, 0.6201)
Pm (0.2501, 0.6535, 0.9459)
Tl (0.2498, 0.7354, 0.3873)
Pm (0.7501, 0.8465, 0.5541)
Ca (0.7498, 0.0213, 0.2927)
Tl (0.7498, 0.7646, 0.1127)
Pm (0.7502, 0.9989, 0.8799)
Pm (0.7499, 0.3465, 0.0541)
Pm (0.2498, 0.0011, 0.1201)
Ca (0.2498, 0.4787, 0.2073)
Ca (0.2502, 0.9787, 0.7073)
Ca (0.7502, 0.5213, 0.7927)
Tl (0.7502, 0.2646, 0.6127)
Pm (0.7498, 0.4989, 0.3799)